Entry 1:
# PBE ZrSi3Rh3, optimized geometry
# space-group type: No. 223
# energy relative to the elements, uncorrected: -0.183 eV/atom
# final energy: -48.16 eV/f.u.
data_ZrSi3Rh3
_symmetry_space_group_name_H-M 'P 1'
_symmetry_Int_Tables_number 1
_symmetry_space_group_name_Hall 'P 1'
_cell_length_a 6.4092
_cell_length_b 6.4092
_cell_length_c 6.4092
_cell_angle_alpha 90.00
_cell_angle_beta 90.00
_cell_angle_gamma 90.00
loop_
_atom_site_label
_atom_site_type_symbol
_atom_site_fract_x
_atom_site_fract_y
_atom_site_fract_z
_atom_site_occupancy
Si1 Si 0.2500 0.0000 0.5000 1
Si2 Si 0.5000 0.2500 0.0000 1
Si3 Si 0.7500 0.0000 0.5000 1
Si4 Si 0.0000 0.5000 0.2500 1
Si5 Si 0.5000 0.7500 0.0000 1
Si6 Si 0.0000 0.5000 0.7500 1
Rh1 Rh 0.5000 0.0000 0.7500 1
Rh2 Rh 0.0000 0.2500 0.5000 1
Rh3 Rh 0.7500 0.5000 0.0000 1
Rh4 Rh 0.2500 0.5000 0.0000 1
Rh5 Rh 0.0000 0.7500 0.5000 1
Rh6 Rh 0.5000 0.0000 0.2500 1
Zr1 Zr 0.0000 0.0000 0.0000 1
Zr2 Zr 0.5000 0.5000 0.5000 1

Entry 2:
# PBE SrOs2Pt, optimized geometry
# space-group type: No. 65
# E above lowest polymorph: 0.547 eV per atom
# calculated formation energy: 314 kJ/mol of formula units
# final energy: -26.93 eV/f.u.
data_SrOs2Pt
_symmetry_space_group_name_H-M 'P 1'
_symmetry_Int_Tables_number 1
_symmetry_space_group_name_Hall 'P 1'
_cell_length_a 5.3386
_cell_length_b 5.3386
_cell_length_c 2.7054
_cell_angle_alpha 90.00
_cell_angle_beta 90.00
_cell_angle_gamma 114.39
loop_
_atom_site_label
_atom_site_type_symbol
_atom_site_fract_x
_atom_site_fract_y
_atom_site_fract_z
_atom_site_occupancy
Os1 Os 0.0000 0.0000 0.0000 1
Os2 Os 0.5000 0.5000 0.0000 1
Sr1 Sr 0.0000 0.5000 0.5000 1
Pt1 Pt 0.5000 0.0000 0.5000 1

Entry 3:
# PBE Ac5DySn5, optimized geometry
# space-group type: No. 12
# calculated formation energy: -480 kJ/mol of formula units
# final energy: -50.13 eV/f.u.
data_Ac5DySn5
_symmetry_space_group_name_H-M 'P 1'
_symmetry_Int_Tables_number 1
_symmetry_space_group_name_Hall 'P 1'
_cell_length_a 6.6627
_cell_length_b 8.4372
_cell_length_c 9.0149
_cell_angle_alpha 106.72
_cell_angle_beta 90.00
_cell_angle_gamma 113.26
loop_
_atom_site_label
_atom_site_type_symbol
_atom_site_fract_x
_atom_site_fract_y
_atom_site_fract_z
_atom_site_occupancy
Dy1 Dy 0.0000 0.0000 0.0000 1
Ac1 Ac 0.0000 0.0000 0.5000 1
Ac2 Ac 0.3209 0.6418 0.6772 1
Ac3 Ac 0.6628 0.3256 0.8236 1
Ac4 Ac 0.3372 0.6744 0.1764 1
Ac5 Ac 0.6791 0.3582 0.3228 1
Sn1 Sn 0.5000 0.0000 0.0000 1
Sn2 Sn 0.8439 0.6878 0.1471 1
Sn3 Sn 0.1561 0.3122 0.8529 1
Sn4 Sn 0.8419 0.6837 0.6753 1
Sn5 Sn 0.1581 0.3163 0.3247 1

Entry 4:
# PBE SrMn3I8, optimized geometry
# space-group type: No. 12
# energy relative to the elements, uncorrected: -0.718 eV/atom
# final energy: -50.21 eV/f.u.
data_SrMn3I8
_symmetry_space_group_name_H-M 'P 1'
_symmetry_Int_Tables_number 1
_symmetry_space_group_name_Hall 'P 1'
_cell_length_a 8.6549
_cell_length_b 8.6573
_cell_length_c 9.2054
_cell_angle_alpha 118.96
_cell_angle_beta 90.00
_cell_angle_gamma 119.99
loop_
_atom_site_label
_atom_site_type_symbol
_atom_site_fract_x
_atom_site_fract_y
_atom_site_fract_z
_atom_site_occupancy
Mn1 Mn 0.5000 0.5000 0.0000 1
Mn2 Mn 0.0000 0.5000 0.0000 1
Mn3 Mn 0.5000 0.0000 0.0000 1
I1 I 0.7154 0.9735 0.2248 1
I2 I 0.2846 0.0265 0.7752 1
I3 I 0.7391 0.4783 0.2110 1
I4 I 0.7419 0.0265 0.7752 1
I5 I 0.2581 0.9735 0.2248 1
I6 I 0.2580 0.5161 0.2246 1
I7 I 0.7420 0.4839 0.7754 1
I8 I 0.2609 0.5217 0.7890 1
Sr1 Sr 0.0000 0.0000 0.0000 1

Entry 5:
# PBE Sr2CdO, optimized geometry
# space-group type: No. 166
# E above lowest polymorph: 0.269 eV per atom
# energy relative to the elements, uncorrected: -1.100 eV/atom
# final energy: -13.64 eV/f.u.
data_Sr2CdO
_symmetry_space_group_name_H-M 'P 1'
_symmetry_Int_Tables_number 1
_symmetry_space_group_name_Hall 'P 1'
_cell_length_a 3.7517
_cell_length_b 3.7517
_cell_length_c 9.9441
_cell_angle_alpha 79.13
_cell_angle_beta 79.13
_cell_angle_gamma 60.00
loop_
_atom_site_label
_atom_site_type_symbol
_atom_site_fract_x
_atom_site_fract_y
_atom_site_fract_z
_atom_site_occupancy
Sr1 Sr 0.1162 0.1162 0.6513 1
Sr2 Sr 0.8838 0.8838 0.3487 1
O1 O 0.5000 0.5000 0.5000 1
Cd1 Cd 0.0000 0.0000 0.0000 1

Entry 6:
# PBE ThMgGe2, optimized geometry
# space-group type: No. 166
# calculated formation energy: -149 kJ/mol of formula units
# final energy: -19.80 eV/f.u.
data_ThMgGe2
_symmetry_space_group_name_H-M 'P 1'
_symmetry_Int_Tables_number 1
_symmetry_space_group_name_Hall 'P 1'
_cell_length_a 4.5746
_cell_length_b 4.5746
_cell_length_c 5.6377
_cell_angle_alpha 66.06
_cell_angle_beta 66.06
_cell_angle_gamma 60.00
loop_
_atom_site_label
_atom_site_type_symbol
_atom_site_fract_x
_atom_site_fract_y
_atom_site_fract_z
_atom_site_occupancy
Ge1 Ge 0.2275 0.2275 0.3174 1
Ge2 Ge 0.7725 0.7725 0.6826 1
Mg1 Mg 0.5000 0.5000 0.5000 1
Th1 Th 0.0000 0.0000 0.0000 1

Entry 7:
# PBE CrTc4, optimized geometry
# space-group type: No. 87
# E above lowest polymorph: 0.000 eV per atom
# calculated formation energy: 64 kJ/mol of formula units
# final energy: -50.42 eV/f.u.
data_CrTc4
_symmetry_space_group_name_H-M 'P 1'
_symmetry_Int_Tables_number 1
_symmetry_space_group_name_Hall 'P 1'
_cell_length_a 4.7031
_cell_length_b 4.7031
_cell_length_c 4.7031
_cell_angle_alpha 99.55
_cell_angle_beta 99.55
_cell_angle_gamma 131.93
loop_
_atom_site_label
_atom_site_type_symbol
_atom_site_fract_x
_atom_site_fract_y
_atom_site_fract_z
_atom_site_occupancy
Tc1 Tc 0.2031 0.4001 0.6032 1
Tc2 Tc 0.4001 0.7969 0.1969 1
Tc3 Tc 0.7969 0.5999 0.3968 1
Tc4 Tc 0.5999 0.2031 0.8031 1
Cr1 Cr 0.0000 0.0000 0.0000 1

Entry 8:
# PBE Ce4Nd2As3N2, optimized geometry
# space-group type: No. 139
# energy relative to the elements, uncorrected: -1.223 eV/atom
# final energy: -77.32 eV/f.u.
data_Ce4Nd2As3N2
_symmetry_space_group_name_H-M 'P 1'
_symmetry_Int_Tables_number 1
_symmetry_space_group_name_Hall 'P 1'
_cell_length_a 4.5989
_cell_length_b 4.5989
_cell_length_c 12.8050
_cell_angle_alpha 100.35
_cell_angle_beta 100.35
_cell_angle_gamma 90.00
loop_
_atom_site_label
_atom_site_type_symbol
_atom_site_fract_x
_atom_site_fract_y
_atom_site_fract_z
_atom_site_occupancy
Ce1 Ce 0.0811 0.5811 0.1622 1
Ce2 Ce 0.9189 0.4189 0.8378 1
Ce3 Ce 0.4189 0.9189 0.8378 1
Ce4 Ce 0.5811 0.0811 0.1622 1
Nd1 Nd 0.3004 0.3004 0.6008 1
Nd2 Nd 0.6996 0.6996 0.3992 1
As1 As 0.1746 0.1746 0.3493 1
As2 As 0.0000 0.0000 0.0000 1
As3 As 0.8254 0.8254 0.6507 1
N1 N 0.3983 0.3983 0.7966 1
N2 N 0.6017 0.6017 0.2034 1

Please write out number 7 again, unchanged.
# PBE CrTc4, optimized geometry
# space-group type: No. 87
# E above lowest polymorph: 0.000 eV per atom
# calculated formation energy: 64 kJ/mol of formula units
# final energy: -50.42 eV/f.u.
data_CrTc4
_symmetry_space_group_name_H-M 'P 1'
_symmetry_Int_Tables_number 1
_symmetry_space_group_name_Hall 'P 1'
_cell_length_a 4.7031
_cell_length_b 4.7031
_cell_length_c 4.7031
_cell_angle_alpha 99.55
_cell_angle_beta 99.55
_cell_angle_gamma 131.93
loop_
_atom_site_label
_atom_site_type_symbol
_atom_site_fract_x
_atom_site_fract_y
_atom_site_fract_z
_atom_site_occupancy
Tc1 Tc 0.2031 0.4001 0.6032 1
Tc2 Tc 0.4001 0.7969 0.1969 1
Tc3 Tc 0.7969 0.5999 0.3968 1
Tc4 Tc 0.5999 0.2031 0.8031 1
Cr1 Cr 0.0000 0.0000 0.0000 1

Q: final energy of number 5 (Sr2CdO)?
A: -13.64 eV/f.u.